Computed, not measured: crystalline PrSm7Ho4 at its relaxed geometry at the PBE level of DFT.

Properties
The theoretical density comes out at 7.6 Mg/m³. As for the polymorph energy (0 for the lowest one): 2.515 eV/f.u.

CIF file:
```
data_PrSm7Ho4
_cell_length_a 5.973
_cell_length_b 9.721
_cell_length_c 8.581
_cell_angle_alpha 61.56
_cell_angle_beta 69.63
_cell_angle_gamma 72.11
_symmetry_space_group_name_H-M 'P 1'
_symmetry_Int_Tables_number 1
_symmetry_space_group_name_Hall 'P 1'
loop_
_atom_site_label
_atom_site_type_symbol
_atom_site_fract_x
_atom_site_fract_y
_atom_site_fract_z
_atom_site_occupancy
Pr1 Pr 0.000 0.000 0.000 1
Sm1 Sm 0.784 0.884 0.548 1
Sm2 Sm 0.216 0.116 0.452 1
Sm3 Sm 0.086 0.549 0.280 1
Sm4 Sm 0.914 0.451 0.720 1
Sm5 Sm 0.212 0.761 0.814 1
Sm6 Sm 0.500 0.000 0.000 1
Sm7 Sm 0.788 0.239 0.186 1
Ho1 Ho 0.572 0.302 0.555 1
Ho2 Ho 0.428 0.698 0.445 1
Ho3 Ho 0.670 0.617 0.043 1
Ho4 Ho 0.330 0.383 0.957 1
```